No. 1
Entry from Alexandria: NbCrCd3 after structural relaxation (PBE-GGA).

Structure (POSCAR):
```
NbCrCd3
1.0
5.4429 0.0000 0.0000
0.0000 5.4429 0.0000
0.0000 0.0000 5.4429
Nb Cr Cd
1 1 3
direct
0.0000 0.0000 0.0000
0.5000 0.5000 0.5000
0.0000 0.0000 0.5000
0.0000 0.5000 0.0000
0.5000 0.0000 0.0000
```

Values from the calculation:
As for the spin magnetization: 2.00 μB/cell. For the density of states at the Fermi level, the calculation gives 3.44 states/eV/f.u. Its space group is Pm-3m. The calculation puts the formation energy from the elements at 6.72 eV/f.u. As for the energy above the lowest structure with this stoichiometry: 0 kJ/mol of formula units.

---

No. 2
Entry from Alexandria: Sm4HgPbN after structural relaxation (PBE-GGA).

Structure (POSCAR):
```
Sm4HgPbN
1.0
3.4420 -8.0365 0.0000
3.4420 8.0365 0.0000
0.0000 0.0000 6.8847
Sm Hg Pb N
8 2 2 2
direct
0.0000 0.5000 0.0000
0.0000 0.5000 0.5000
0.0798 0.9202 0.7500
0.4109 0.5891 0.7500
0.5000 0.0000 0.0000
0.5000 0.0000 0.5000
0.5891 0.4109 0.2500
0.9202 0.0798 0.2500
0.1154 0.8846 0.2500
0.8846 0.1154 0.7500
0.3912 0.6088 0.2500
0.6088 0.3912 0.7500
0.2531 0.7469 0.7500
0.7469 0.2531 0.2500
```

Values from the calculation:
The value obtained for the energy is -72.6 eV per cell. As for the spin magnetization: 0.00 μB/cell. For the density of states at the Fermi level, the calculation gives 3.93 states/eV/f.u. Its space group is Cmcm.

---

Look up the spin magnetization of the second one. 0.00 μB/cell